No. 1
DFT (GGA-PBEsol) results for a relaxed ZnCu3 crystal.

Results
* mass density: 9.02 Mg/m³
* V: 11.8 A^3/atom
* calculated total energy: -3.690 eV/atom
* energy of formation from the pure elements: -0.0438 eV/atom
* DOS at the Fermi energy: 1.4 states/eV/f.u.

a = 2.597 Å, b = 2.597 Å, c = 6.988 Å
α = 90.00°, β = 90.00°, γ = 90.00°
Sites, in units of the cell vectors:
Zn: 0.000 0.000 0.000
Cu: 0.000 0.000 0.500
Cu: 0.500 0.500 0.256
Cu: 0.500 0.500 0.744

=====

No. 2
DFT (GGA-PBEsol) results for a relaxed Zn4Cu5 crystal.

Results
* offset from the most stable computed form: 0 meV/atom
* mass density: 8.74 Mg/m³
* V: 12.2 A^3/atom
* calculated total energy: -3.188 eV/atom
* energy of formation from the pure elements: -0.0767 eV/atom
* DOS at the Fermi energy: 2.6 states/eV/f.u.

a = 5.736 Å, b = 5.736 Å, c = 5.736 Å
α = 96.12°, β = 96.12°, γ = 141.87°
Sites, in units of the cell vectors:
Zn: 0.000 0.324 0.324
Zn: 0.000 0.676 0.676
Zn: 0.324 0.000 0.324
Zn: 0.676 0.000 0.676
Cu: 0.000 0.000 0.000
Cu: 0.334 0.334 0.669
Cu: 0.334 0.666 0.000
Cu: 0.666 0.334 0.000
Cu: 0.666 0.666 0.331

=====

No. 3
DFT (GGA-PBEsol) results for a relaxed ZnCu2 crystal.

Results
* mass density: 8.93 Mg/m³
* V: 11.9 A^3/atom
* calculated total energy: -3.481 eV/atom
* energy of formation from the pure elements: -0.0644 eV/atom
* DOS at the Fermi energy: 0.8 states/eV/f.u.

a = 4.883 Å, b = 4.883 Å, c = 6.072 Å
α = 104.56°, β = 104.56°, γ = 30.83°
Sites, in units of the cell vectors:
Zn: 0.000 0.000 0.000
Zn: 0.674 0.674 0.346
Cu: 0.282 0.282 0.065
Cu: 0.338 0.338 0.674
Cu: 0.618 0.618 0.732
Cu: 0.951 0.951 0.400

=====

No. 4
DFT (GGA-PBEsol) results for a relaxed Zn4Cu3 crystal.

Results
* offset from the most stable computed form: 0 meV/atom
* mass density: 8.52 Mg/m³
* V: 12.6 A^3/atom
* calculated total energy: -2.822 eV/atom
* energy of formation from the pure elements: -0.0605 eV/atom
* DOS at the Fermi energy: 1.8 states/eV/f.u.

a = 10.339 Å, b = 10.339 Å, c = 10.339 Å
α = 163.60°, β = 163.60°, γ = 23.28°
Sites, in units of the cell vectors:
Zn: 0.070 0.070 0.000
Zn: 0.351 0.351 0.000
Zn: 0.649 0.649 0.000
Zn: 0.930 0.930 0.000
Cu: 0.217 0.217 0.000
Cu: 0.500 0.500 0.000
Cu: 0.783 0.783 0.000

=====

No. 5
DFT (GGA-PBEsol) results for a relaxed Zn6Cu7 crystal.

Results
* mass density: 8.42 Mg/m³
* V: 12.7 A^3/atom
* calculated total energy: -3.086 eV/atom
* energy of formation from the pure elements: -0.0220 eV/atom
* DOS at the Fermi energy: 5.5 states/eV/f.u.

a = 8.713 Å, b = 8.713 Å, c = 8.713 Å
α = 32.00°, β = 32.00°, γ = 32.00°
Sites, in units of the cell vectors:
Zn: 0.051 0.051 0.051
Zn: 0.155 0.155 0.155
Zn: 0.334 0.334 0.334
Zn: 0.666 0.666 0.666
Zn: 0.845 0.845 0.845
Zn: 0.949 0.949 0.949
Cu: 0.084 0.588 0.588
Cu: 0.412 0.412 0.916
Cu: 0.412 0.916 0.412
Cu: 0.500 0.500 0.500
Cu: 0.588 0.084 0.588
Cu: 0.588 0.588 0.084
Cu: 0.916 0.412 0.412

=====

No. 6
DFT (GGA-PBEsol) results for a relaxed ZnCu2 crystal.

Results
* mass density: 8.91 Mg/m³
* V: 12.0 A^3/atom
* calculated total energy: -3.469 eV/atom
* energy of formation from the pure elements: -0.0519 eV/atom
* DOS at the Fermi energy: 0.8 states/eV/f.u.

a = 4.049 Å, b = 4.049 Å, c = 2.528 Å
α = 90.00°, β = 90.00°, γ = 120.00°
Sites, in units of the cell vectors:
Zn: 0.000 0.000 0.000
Cu: 0.333 0.667 0.328
Cu: 0.667 0.333 0.672

=====

No. 7
DFT (GGA-PBEsol) results for a relaxed Zn3Cu2 crystal.

Results
* offset from the most stable computed form: 44 meV/atom
* mass density: 7.69 Mg/m³
* V: 14.0 A^3/atom
* calculated total energy: -2.700 eV/atom
* energy of formation from the pure elements: -0.0171 eV/atom
* DOS at the Fermi energy: 1.7 states/eV/f.u.

a = 4.052 Å, b = 4.052 Å, c = 4.912 Å
α = 90.00°, β = 90.00°, γ = 120.00°
Sites, in units of the cell vectors:
Zn: 0.000 0.000 0.000
Zn: 0.333 0.667 0.365
Zn: 0.667 0.333 0.635
Cu: 0.333 0.667 0.864
Cu: 0.667 0.333 0.136

=====

No. 8
DFT (GGA-PBEsol) results for a relaxed Zn3Cu2 crystal.

Results
* offset from the most stable computed form: 14 meV/atom
* mass density: 8.47 Mg/m³
* V: 12.7 A^3/atom
* calculated total energy: -2.730 eV/atom
* energy of formation from the pure elements: -0.0471 eV/atom
* DOS at the Fermi energy: 1.6 states/eV/f.u.

a = 10.671 Å, b = 10.671 Å, c = 10.671 Å
α = 14.17°, β = 14.17°, γ = 14.17°
Sites, in units of the cell vectors:
Zn: 0.000 0.000 0.000
Zn: 0.203 0.203 0.203
Zn: 0.797 0.797 0.797
Cu: 0.398 0.398 0.398
Cu: 0.602 0.602 0.602